one) VASP calculation (PBE) on a geometry-optimized SrLiAl3 structure.

Summary:
ρ in g/cm3: 2.6

a b c (Å): 6.738 11.161 6.031
angles (deg): 90.00 90.00 90.00
Space group Cmcm (No. 63)
Unique sites:
Sr 0.000 0.231 0.250
Li 0.000 0.095 0.750
Al 0.000 0.341 0.750
Al 0.202 0.500 0.000


two) VASP calculation (PBE) on a geometry-optimized SrLiAl3 structure.

Summary:
ρ in g/cm3: 2.6

a b c (Å): 4.801 4.801 4.801
angles (deg): 90.00 90.00 90.00
Space group Pm-3m (No. 221)
Unique sites:
Sr 0.000 0.000 0.000
Li 0.500 0.500 0.500
Al 0.000 0.500 0.500


three) VASP calculation (PBE) on a geometry-optimized SrLiAl3 structure.

Summary:
ρ in g/cm3: 1.4

a b c (Å): 5.918 5.918 5.918
angles (deg): 90.00 90.00 90.00
Space group Pm-3m (No. 221)
Unique sites:
Sr 0.000 0.000 0.000
Li 0.500 0.500 0.500
Al 0.000 0.000 0.500


Which of them is most stable? Easy: one).


one) VASP calculation (PBE) on a geometry-optimized SrLi4Al structure.

Summary:
ρ in g/cm3: 1.8

a b c (Å): 8.042 8.042 8.042
angles (deg): 90.00 90.00 90.00
Space group F-43m (No. 216)
Unique sites:
Sr 0.000 0.000 0.000
Li 0.122 0.122 0.378
Al 0.250 0.250 0.750


two) VASP calculation (PBE) on a geometry-optimized SrLi4Al structure.

Summary:
ρ in g/cm3: 1.7

a b c (Å): 15.320 8.156 4.764
angles (deg): 90.00 107.91 90.00
Space group C2/c (No. 15)
Unique sites:
Sr 0.000 0.250 0.250
Li 0.165 0.083 0.916
Li 0.166 0.417 0.917
Al 0.250 0.250 0.500


Which of them is most stable? Easy: two).


one) VASP calculation (PBE) on a geometry-optimized Li2TaAl structure.

Summary:
ρ in g/cm3: 5.6

a b c (Å): 2.729 3.988 6.146
angles (deg): 90.00 97.37 90.00
Space group Pm (No. 6)
Unique sites:
Li 0.000 0.000 0.000
Li 0.396 0.500 0.229
Ta 0.946 0.000 0.511
Al 0.503 0.500 0.744


two) VASP calculation (PBE) on a geometry-optimized Li2TaAl structure.

Summary:
ρ in g/cm3: 5.9

a b c (Å): 2.814 2.814 7.871
angles (deg): 90.00 90.00 90.00
Space group P4/mmm (No. 123)
Unique sites:
Li 0.000 0.000 0.229
Ta 0.500 0.500 0.500
Al 0.500 0.500 0.000


Which of them is most stable? Easy: one).


one) VASP calculation (PBE) on a geometry-optimized Li2TaAl structure.

Summary:
ρ in g/cm3: 5.4

a b c (Å): 10.527 2.603 5.523
angles (deg): 90.00 115.58 90.00
Space group Cm (No. 8)
Unique sites:
Li 0.000 0.000 0.000
Li 0.242 0.000 0.947
Ta 0.262 0.500 0.462
Al 0.003 0.500 0.493


two) VASP calculation (PBE) on a geometry-optimized Li2TaAl structure.

Summary:
ρ in g/cm3: 5.5

a b c (Å): 2.699 4.916 5.069
angles (deg): 90.00 92.68 90.00
Space group P2/m (No. 10)
Unique sites:
Li 0.175 0.000 0.241
Ta 0.500 0.500 0.000
Al 0.000 0.500 0.500


three) VASP calculation (PBE) on a geometry-optimized Li2TaAl structure.

Summary:
ρ in g/cm3: 5.4

a b c (Å): 2.676 4.909 10.377
angles (deg): 90.00 90.00 90.00
Space group Immm (No. 71)
Unique sites:
Li 0.000 0.000 0.231
Ta 0.000 0.500 0.000
Al 0.000 0.500 0.500


four) VASP calculation (PBE) on a geometry-optimized Li2TaAl structure.

Summary:
ρ in g/cm3: 6.4

a b c (Å): 6.143 6.143 6.143
angles (deg): 90.00 90.00 90.00
Space group Fm-3m (No. 225)
Unique sites:
Li 0.250 0.250 0.250
Ta 0.000 0.000 0.000
Al 0.000 0.000 0.500


Which of them is most stable? Easy: three).


one) VASP calculation (PBE) on a geometry-optimized LiTb2Al3 structure.

Summary:
ρ in g/cm3: 5.4

a b c (Å): 5.6494 5.6494 8.9574
angles (deg): 90.00 90.00 120.00
Space group P6_3/mmc (No. 194)
Unique sites:
Li 0.0000 0.0000 0.0000
Tb 0.3333 0.6667 0.0723
Al 0.1695 0.3389 0.7500


two) VASP calculation (PBE) on a geometry-optimized LiTb2Al3 structure.

Summary:
ρ in g/cm3: 5.2

a b c (Å): 7.071 9.236 16.023
angles (deg): 90.00 90.00 90.00
Space group Fmmm (No. 69)
Unique sites:
Li 0.000 0.000 0.168
Tb 0.245 0.000 0.000
Tb 0.250 0.250 0.250
Al 0.000 0.000 0.334
Al 0.000 0.248 0.416


Which of them is most stable? Easy: one).


one) VASP calculation (PBE) on a geometry-optimized LiAlTc structure.

Summary:
ρ in g/cm3: 4.3

a b c (Å): 5.868 5.868 5.868
angles (deg): 90.00 90.00 90.00
Space group F-43m (No. 216)
Unique sites:
Li 0.000 0.000 0.000
Al 0.250 0.250 0.250
Tc 0.000 0.000 0.500


two) VASP calculation (PBE) on a geometry-optimized LiAlTc structure.

Summary:
ρ in g/cm3: 5.2

a b c (Å): 3.005 3.005 9.248
angles (deg): 90.00 90.00 90.00
Space group I4mm (No. 107)
Unique sites:
Li 0.000 0.000 0.000
Al 0.000 0.000 0.337
Tc 0.000 0.000 0.669


Which of them is most stable? Easy: two).


one) VASP calculation (PBE) on a geometry-optimized LiAl2Tc2 structure.

Summary:
ρ in g/cm3: 5.3

a b c (Å): 7.653 7.653 2.767
angles (deg): 90.00 90.00 90.00
Space group P4/mbm (No. 127)
Unique sites:
Li 0.000 0.000 0.000
Al 0.184 0.316 0.500
Tc 0.110 0.610 0.000


two) VASP calculation (PBE) on a geometry-optimized LiAl2Tc2 structure.

Summary:
ρ in g/cm3: 5.9

a b c (Å): 6.588 6.588 3.344
angles (deg): 90.00 90.00 90.00
Space group P4/mbm (No. 127)
Unique sites:
Li 0.000 0.000 0.000
Al 0.136 0.364 0.000
Tc 0.165 0.665 0.500


Which of them is most stable? Easy: two).


one) VASP calculation (PBE) on a geometry-optimized LiAlTc3 structure.

Summary:
ρ in g/cm3: 6.0

a b c (Å): 4.503 4.503 4.503
angles (deg): 90.00 90.00 90.00
Space group Pm-3m (No. 221)
Unique sites:
Li 0.000 0.000 0.000
Al 0.500 0.500 0.500
Tc 0.000 0.500 0.500


two) VASP calculation (PBE) on a geometry-optimized LiAlTc3 structure.

Summary:
ρ in g/cm3: 7.7

a b c (Å): 4.139 4.139 4.139
angles (deg): 90.00 90.00 90.00
Space group Pm-3m (No. 221)
Unique sites:
Li 0.000 0.000 0.000
Al 0.500 0.500 0.500
Tc 0.000 0.000 0.500


Which of them is most stable? Easy: two).